(1)
## K5Cr4 (PBE-GGA)

Data for crystalline K5Cr4 at its relaxed geometry.

abc: 11.5688 11.5688 5.0852
angles: 90.00 90.00 90.00
With the nearest neighbours (Å) after each atom.
Space group I4/mmm (No. 139)
Asymmetric unit:
K 0.0000 0.0000 0.0000 x2  8 K 3.86
K 0.1775 0.1775 0.5000 x8  4 K 3.48-3.86, 2 Cr 3.78
Cr 0.0000 0.3773 0.0000 x8  1 Cr 2.84

Calculated values
Energy above the most stable polymorph in this dataset, meV per atom: 0
Crystal system: tetragonal

=====

(2)
## Ag2H5Pd3 (PBE-GGA)

Data for crystalline Ag2H5Pd3 at its relaxed geometry.

abc: 5.2237 13.7734 5.6671
angles: 90.00 90.00 90.00
With the nearest neighbours (Å) after each atom.
Space group Ibam (No. 72)
Asymmetric unit:
Ag 0.0544 0.1955 0.0000 x8  1 H 2.00
H 0.0000 0.3205 0.2500 x8  2 Pd 1.80
H 0.0000 0.5000 0.2500 x4  4 Pd 1.98
H 0.1247 0.0672 0.5000 x8  3 Pd 1.81-1.85, 1 Ag 2.00
Pd 0.0000 0.0000 0.2500 x4  4 H 1.81
Pd 0.0311 0.3998 0.0000 x8  5 H 1.80-1.98

Calculated values
Electronic total energy, eV/atom: -3.78
Crystal system: orthorhombic

=====

(3)
## AcC (PBE-GGA)

Data for crystalline AcC at its relaxed geometry.

abc: 3.6980 3.3636 7.5963
angles: 90.00 103.97 90.00
With the nearest neighbours (Å) after each atom.
Space group P2_1/m (No. 11)
Asymmetric unit:
Ac 0.1108 0.2500 0.2230 x2  6 C 2.75-2.80
C 0.4738 0.2500 0.9470 x2  2 C 1.85

Calculated values
Energy above the most stable polymorph in this dataset, meV per atom: 555
Crystal system: monoclinic

=====

(4)
## Dy4CoBi (PBE-GGA)

Data for crystalline Dy4CoBi at its relaxed geometry.

abc: 8.4419 3.8199 19.8269
angles: 90.00 90.00 90.00
With the nearest neighbours (Å) after each atom.
Space group Pnma (No. 62)
Asymmetric unit:
Dy 0.0379 0.2500 0.0669 x4  2 Co 2.82
Dy 0.0600 0.7500 0.2139 x4  4 Bi 3.24-3.25, 4 Dy 3.49-3.55
Dy 0.1238 0.7500 0.6457 x4  2 Co 2.74
Dy 0.1461 0.7500 0.4556 x4  3 Co 2.81-3.08
Co 0.2175 0.2500 0.5550 x4  6 Dy 2.74-2.82
Bi 0.2433 0.7500 0.8163 x4  9 Dy 3.24-3.53

Calculated values
Energy above the most stable polymorph in this dataset, meV per atom: 0
Crystal system: orthorhombic

=====

(5)
## TiMn4Sb (PBE-GGA)

Data for crystalline TiMn4Sb at its relaxed geometry.

abc: 6.8436 6.8436 6.8436
angles: 90.00 90.00 90.00
With the nearest neighbours (Å) after each atom.
Space group F-43m (No. 216)
Asymmetric unit:
Ti 0.0000 0.0000 0.0000 x4  12 Mn 2.84, 4 Sb 2.96
Mn 0.1246 0.1246 0.3754 x16  6 Mn 2.41-2.43
Sb 0.2500 0.2500 0.7500 x4  12 Mn 2.84, 4 Ti 2.96

Calculated values
Formation energy (no corrections), eV/atom: -0.026
Crystal system: cubic

=====

(6)
## La2Ga3Rh (PBE-GGA)

Data for crystalline La2Ga3Rh at its relaxed geometry.

abc: 7.9164 9.0501 15.4707
angles: 90.00 90.00 90.00
With the nearest neighbours (Å) after each atom.
Space group Fmmm (No. 69)
Asymmetric unit:
La 0.2357 0.0000 0.0000 x8  2 Rh 3.14, 10 Ga 3.21-3.36
La 0.2500 0.2500 0.2500 x8  8 Ga 3.24-3.25, 4 Rh 3.29
Ga 0.0000 0.0000 0.3303 x8  1 Rh 2.58, 2 Ga 2.62
Ga 0.0000 0.2500 0.0845 x16  1 Rh 2.57, 2 Ga 2.61-2.62
Rh 0.0000 0.0000 0.1636 x8  3 Ga 2.57-2.58

Calculated values
Electronic total energy, eV/atom: -5.09
Crystal system: orthorhombic